No. 1
# Tb4Pr3SmSe8 | Alexandria via LeMat-Bulk | PBE | relaxed
# Density of states at the Fermi level = 9.54 states/eV/cell
# Raw total energy = -5.8962 eV/atom
# E_form (uncorrected) = -1.8053 eV per atom
# V = 410.5 Å³/cell
data_Tb4Pr3SmSe8
_chemical_formula_sum 'Tb4 Pr3 Sm1 Se8'
_cell_length_a 8.274
_cell_length_b 8.411
_cell_length_c 8.273
_cell_angle_alpha 119.45
_cell_angle_beta 120.00
_cell_angle_gamma 90.00
_symmetry_space_group_name_H-M 'P 1'
_symmetry_Int_Tables_number 1
_symmetry_space_group_name_Hall 'P 1'
loop_
_atom_site_label
_atom_site_type_symbol
_atom_site_fract_x
_atom_site_fract_y
_atom_site_fract_z
Se1 Se 0.252 0.763 0.505
Se2 Se 0.242 0.236 0.989
Se3 Se 0.253 0.764 0.011
Se4 Se 0.747 0.236 0.989
Se5 Se 0.756 0.766 0.511
Se6 Se 0.244 0.234 0.489
Se7 Se 0.748 0.237 0.495
Se8 Se 0.758 0.764 0.011
Tb1 Tb 0.500 0.000 0.500
Tb2 Tb 0.000 0.000 0.500
Tb3 Tb 0.500 0.000 0.000
Tb4 Tb 0.000 0.000 0.000
Pr1 Pr 0.500 0.500 0.500
Pr2 Pr 0.500 0.500 0.000
Pr3 Pr 0.000 0.500 0.500
Sm1 Sm 0.000 0.500 0.000

=====

No. 2
# Re2TcRh6 | Alexandria via LeMat-Bulk | PBE | relaxed
# Density of states at the Fermi level = 11.41 states/eV/cell
# Raw total energy = -8.8725 eV/atom
# Energy of formation from the pure elements = -53.5 meV/atom
# V = 129.2 Å³/cell
data_Re2TcRh6
_chemical_formula_sum 'Re2 Tc1 Rh6'
_cell_length_a 3.865
_cell_length_b 4.708
_cell_length_c 8.174
_cell_angle_alpha 73.83
_cell_angle_beta 90.00
_cell_angle_gamma 114.24
_symmetry_space_group_name_H-M 'P 1'
_symmetry_Int_Tables_number 1
_symmetry_space_group_name_Hall 'P 1'
loop_
_atom_site_label
_atom_site_type_symbol
_atom_site_fract_x
_atom_site_fract_y
_atom_site_fract_z
Tc1 Tc 0.000 0.000 0.500
Re1 Re 0.330 0.659 0.053
Re2 Re 0.670 0.341 0.947
Rh1 Rh 0.665 0.330 0.275
Rh2 Rh 0.329 0.659 0.391
Rh3 Rh 0.671 0.341 0.609
Rh4 Rh 0.996 0.993 0.834
Rh5 Rh 0.335 0.670 0.725
Rh6 Rh 0.004 0.007 0.166